# 1
Material: AgIN2F
Method: DFT, PBE
State: optimized geometry

Cell: 4.824 4.824 4.499 Å, 90.00 90.00 90.00°
Positions (direct):
Ag 0.000 0.000 0.000
I 0.500 0.500 0.000
N 0.000 0.500 0.500
N 0.500 0.000 0.500
F 0.500 0.500 0.500

## Properties
Space-group type: No. 123
Energy relative to the lowest polymorph listed for this composition in meV per atom: 700

---

# 2
Material: NaAg2IF2
Method: DFT, PBE
State: optimized geometry

Cell: 6.208 6.157 6.352 Å, 90.00 93.81 90.00°
Positions (direct):
Na 0.025 0.250 0.458
Na 0.975 0.750 0.542
Ag 0.306 0.750 0.133
Ag 0.475 0.750 0.686
Ag 0.525 0.250 0.314
Ag 0.694 0.250 0.867
I 0.242 0.250 0.959
I 0.758 0.750 0.041
F 0.247 0.529 0.452
F 0.247 0.971 0.452
F 0.753 0.029 0.548
F 0.753 0.471 0.548

## Properties
Space-group type: No. 11
Uncorrected energy in eV per atom: -3.275

---

# 3
Material: NbAgI2F
Method: DFT, PBE
State: optimized geometry

Cell: 5.690 5.690 4.051 Å, 90.00 90.00 90.00°
Positions (direct):
Nb 0.000 0.000 0.000
Ag 0.500 0.500 0.000
I 0.000 0.500 0.500
I 0.500 0.000 0.500
F 0.500 0.500 0.500

## Properties
Space-group type: No. 123
Uncorrected energy in eV per atom: -3.294